Record 1
# K2HfAlSb GGA-PBEsol optimized geometry
data_K2HfAlSb
_space_group_name_H-M_alt 'P 1'
_space_group_IT_number 1
_cell_length_a 5.3493
_cell_length_b 5.7108
_cell_length_c 5.7108
_cell_angle_alpha 90.00
_cell_angle_beta 90.00
_cell_angle_gamma 90.00
loop_
_space_group_symop_operation_xyz
'x,y,z'
loop_
_atom_site_label
_atom_site_fract_x
_atom_site_fract_y
_atom_site_fract_z
Sb1 0.5000 0.5000 0.5000
K1 0.0000 0.0000 0.5000
K2 0.0000 0.5000 0.0000
Hf1 0.5000 0.0000 0.0000
Al1 0.0000 0.0000 0.0000
# ρ = 3859 kg/m3
# Energy relative to the elements, uncorrected = 0.9234 eV per atom
# Space group = No. 123
# M_tot = 0.0 μB per formula unit

---

Record 2
# Y2AgP GGA-PBEsol optimized geometry
data_Y2AgP
_space_group_name_H-M_alt 'P 1'
_space_group_IT_number 1
_cell_length_a 3.9684
_cell_length_b 3.9684
_cell_length_c 7.3290
_cell_angle_alpha 74.29
_cell_angle_beta 74.29
_cell_angle_gamma 60.00
loop_
_space_group_symop_operation_xyz
'x,y,z'
loop_
_atom_site_label
_atom_site_fract_x
_atom_site_fract_y
_atom_site_fract_z
Y1 0.7393 0.7393 0.7822
Y2 0.2607 0.2607 0.2178
P1 0.0000 0.0000 0.0000
Ag1 0.5000 0.5000 0.5000
# ρ = 5538 kg/m3
# Calculated formation energy = -3.45 eV per formula unit
# Space group = No. 166
# M_tot = 0.0 μB per formula unit

---

Record 3
# La2AlCl GGA-PBEsol optimized geometry
data_La2AlCl
_space_group_name_H-M_alt 'P 1'
_space_group_IT_number 1
_cell_length_a 4.2668
_cell_length_b 4.2668
_cell_length_c 6.0553
_cell_angle_alpha 90.00
_cell_angle_beta 90.00
_cell_angle_gamma 90.00
loop_
_space_group_symop_operation_xyz
'x,y,z'
loop_
_atom_site_label
_atom_site_fract_x
_atom_site_fract_y
_atom_site_fract_z
Cl1 0.5000 0.5000 0.5000
Al1 0.0000 0.0000 0.0000
La1 0.0000 0.0000 0.5000
La2 0.5000 0.5000 0.0000
# ρ = 5125 kg/m3
# Energy relative to the elements, uncorrected = -0.9238 eV per atom
# Distance to the lowest polymorph of the same formula = 1.0 kJ per mole of atoms
# Space group = No. 123
# M_tot = 0.0 μB per formula unit

---

Record 4
# KAl2Ni GGA-PBEsol optimized geometry
data_KAl2Ni
_space_group_name_H-M_alt 'P 1'
_space_group_IT_number 1
_cell_length_a 2.7364
_cell_length_b 4.0302
_cell_length_c 8.0836
_cell_angle_alpha 104.44
_cell_angle_beta 99.74
_cell_angle_gamma 90.00
loop_
_space_group_symop_operation_xyz
'x,y,z'
loop_
_atom_site_label
_atom_site_fract_x
_atom_site_fract_y
_atom_site_fract_z
Ni1 0.2690 0.7690 0.5380
K1 0.5708 0.5708 0.1415
Al1 0.8978 0.8978 0.7955
Al2 0.7625 0.2625 0.5250
# ρ = 2964 kg/m3
# Calculated formation energy = 0.04 eV per formula unit
# Space group = No. 44
# M_tot = 0.0 μB per formula unit

---

Q: M_tot of number 2 (Y2AgP)?
A: 0.0 μB per formula unit